No. 1
Entry from Alexandria via LeMat-Bulk: a relaxed NdPu2Pd crystal (PBE).

Output
For the formation energy, the calculation gives 16 kJ/mol of atoms.

```
data_NdPu2Pd
_chemical_formula_sum 'Nd3 Pu6 Pd3'
_symmetry_space_group_name_H-M 'R -3 m'
_symmetry_Int_Tables_number 166
_symmetry_space_group_name_Hall '-R 3 2"'
_cell_length_a 3.4808
_cell_length_b 3.4808
_cell_length_c 32.1796
_cell_angle_alpha 90.00
_cell_angle_beta 90.00
_cell_angle_gamma 120.00
loop_
_atom_site_label
_atom_site_fract_x
_atom_site_fract_y
_atom_site_fract_z
_atom_site_occupancy
Nd1 0.0000 0.0000 0.0000 1
Pu1 0.0000 0.0000 0.1015 1
Pd1 0.0000 0.0000 0.5000 1
```



No. 2
Entry from Alexandria via LeMat-Bulk: a relaxed Nd3PuPd12 crystal (PBE).

Output
For the formation energy, the calculation gives -69 kJ/mol of atoms.

```
data_Nd3PuPd12
_chemical_formula_sum 'Nd3 Pu1 Pd12'
_symmetry_space_group_name_H-M 'P 4/m m m'
_symmetry_Int_Tables_number 123
_symmetry_space_group_name_Hall '-P 4 2'
_cell_length_a 4.1843
_cell_length_b 4.1843
_cell_length_c 16.7666
_cell_angle_alpha 90.00
_cell_angle_beta 90.00
_cell_angle_gamma 90.00
loop_
_atom_site_label
_atom_site_fract_x
_atom_site_fract_y
_atom_site_fract_z
_atom_site_occupancy
Nd1 0.0000 0.0000 0.0000 1
Nd2 0.0000 0.0000 0.2510 1
Pu1 0.0000 0.0000 0.5000 1
Pd1 0.0000 0.5000 0.1262 1
Pd2 0.0000 0.5000 0.3799 1
Pd3 0.5000 0.5000 0.0000 1
Pd4 0.5000 0.5000 0.2522 1
Pd5 0.5000 0.5000 0.5000 1
```